The following is a DFT calculation (PBE) of crystalline ScBeSiNi6 at its relaxed geometry.

## Properties
- formation energy (no corrections) (meV/atom) = -193.1
- D(E_F) (states/eV/atom) = 0.422

Structure (CIF):
```
data_ScBeSiNi6
_symmetry_space_group_name_H-M 'I m m a'
_symmetry_Int_Tables_number 74
_symmetry_space_group_name_Hall '-I 2b 2'
_cell_length_a 5.884
_cell_length_b 7.600
_cell_length_c 9.911
_cell_angle_alpha 90.00
_cell_angle_beta 90.00
_cell_angle_gamma 90.00
loop_
_atom_site_label
_atom_site_type_symbol
_atom_site_fract_x
_atom_site_fract_y
_atom_site_fract_z
Sc1 Sc 0.000 0.250 0.213
Be1 Be 0.000 0.000 0.000
Si1 Si 0.250 0.250 0.750
Ni1 Ni 0.000 0.250 0.491
Ni2 Ni 0.000 0.250 0.920
Ni3 Ni 0.206 0.001 0.624
```

The following is a DFT calculation (PBE) of crystalline TiGe2Se at its relaxed geometry.

## Properties
- formation energy (no corrections) (meV/atom) = 334.6
- D(E_F) (states/eV/atom) = 0.412

Structure (CIF):
```
data_TiGe2Se
_symmetry_space_group_name_H-M 'I -4 2 d'
_symmetry_Int_Tables_number 122
_symmetry_space_group_name_Hall 'I -4 2bw'
_cell_length_a 6.056
_cell_length_b 6.056
_cell_length_c 11.525
_cell_angle_alpha 90.00
_cell_angle_beta 90.00
_cell_angle_gamma 90.00
loop_
_atom_site_label
_atom_site_type_symbol
_atom_site_fract_x
_atom_site_fract_y
_atom_site_fract_z
Ti1 Ti 0.000 0.000 0.000
Ge1 Ge 0.243 0.250 0.125
Se1 Se 0.000 0.000 0.500
```

The following is a DFT calculation (PBE) of crystalline PuAg4Pd at its relaxed geometry.

## Properties
- energy of formation (eV per atom) = -0.023
- D(E_F) (states/eV/atom) = 3.009

Structure (CIF):
```
data_PuAg4Pd
_symmetry_space_group_name_H-M 'F -4 3 m'
_symmetry_Int_Tables_number 216
_symmetry_space_group_name_Hall 'F -4 2 3'
_cell_length_a 7.811
_cell_length_b 7.811
_cell_length_c 7.811
_cell_angle_alpha 90.00
_cell_angle_beta 90.00
_cell_angle_gamma 90.00
loop_
_atom_site_label
_atom_site_type_symbol
_atom_site_fract_x
_atom_site_fract_y
_atom_site_fract_z
Pu1 Pu 0.000 0.000 0.000
Ag1 Ag 0.124 0.124 0.624
Pd1 Pd 0.250 0.250 0.250
```